No. 1
The following is a DFT calculation (PBE-GGA) of crystalline BaAgPdPb3 at its relaxed geometry.

## Properties
Calculated formation energy ... -0.174 eV per atom
Magnetic moment ... 0.00 μB per formula unit

Cell lengths 7.9656, 7.9656, 7.0140 Å; angles 90.00, 90.00, 124.22 degrees
Element x y z (fractional)
Ba: 0.2155 0.7845 0.7500
Ba: 0.7845 0.2155 0.2500
Ag: 0.1382 0.8618 0.2500
Ag: 0.8618 0.1382 0.7500
Pd: 0.4277 0.5723 0.7500
Pd: 0.5723 0.4277 0.2500
Pb: 0.2323 0.2323 0.0000
Pb: 0.2323 0.2323 0.5000
Pb: 0.3527 0.6473 0.2500
Pb: 0.6473 0.3527 0.7500
Pb: 0.7677 0.7677 0.0000
Pb: 0.7677 0.7677 0.5000

No. 2
The following is a DFT calculation (PBE-GGA) of crystalline Rb2CdAu2 at its relaxed geometry.

## Properties
Calculated formation energy ... -0.191 eV per atom
Magnetic moment ... 0.00 μB per formula unit
Polymorph energy (0 for the lowest one) ... 60 meV per atom

Cell lengths 7.8646, 7.8646, 5.2635 Å; angles 90.00, 90.00, 90.00 degrees
Element x y z (fractional)
Rb: 0.1720 0.3280 0.0000
Rb: 0.3280 0.8280 0.0000
Rb: 0.6720 0.1720 0.0000
Rb: 0.8280 0.6720 0.0000
Cd: 0.0000 0.0000 0.5000
Cd: 0.5000 0.5000 0.5000
Au: 0.1298 0.6298 0.5000
Au: 0.3702 0.1298 0.5000
Au: 0.6298 0.8702 0.5000
Au: 0.8702 0.3702 0.5000

> Which formula does entry 2 have?

Rb2CdAu2

> Number 2 is which compound?

Rb2CdAu2

> Which of these has the lowest calculated formation energy?

Rb2CdAu2